(1)
A plane-wave DFT calculation with GGA-PBE was carried out for a relaxed NbH2O crystal.

Computed properties:
As for the total energy: -48.0 eV for the cell shown. The volume is 8.292 Å³/atom. The calculation puts the energy above the lowest structure with this stoichiometry at 0.00 eV/f.u.

a = 3.0909 Å, b = 3.0909 Å, c = 7.2792 Å
α = 77.74°, β = 77.74°, γ = 90.00°
Last column: nearest neighbours and their distance in Å.
Fractional positions:
H 0.8750 0.1216 0.7500  2 H 1.55
H 0.8716 0.1250 0.2500  2 H 1.55
H 0.3750 0.1284 0.7500  2 H 1.55
H 0.8784 0.6250 0.2500  2 H 1.55
O 0.2500 0.7500 0.5000  4 Nb 2.19, 4 H 2.44
O 0.5000 0.5000 0.0000  4 Nb 2.19, 4 H 2.44
Nb 0.7500 0.2500 0.5000  4 H 1.90
Nb 0.0000 0.0000 0.0000  4 H 1.90

---

(2)
A plane-wave DFT calculation with GGA-PBE was carried out for a relaxed ZnAg2I crystal.

Computed properties:
As for the total energy: -16.0 eV for the cell shown. The volume is 26.642 Å³/atom. The calculation puts the energy above the lowest structure with this stoichiometry at 0.00 eV/f.u. The uncorrected formation energy is 0.13 eV/atom.

a = 4.9514 Å, b = 4.9514 Å, c = 9.3724 Å
α = 74.68°, β = 74.68°, γ = 90.00°
Last column: nearest neighbours and their distance in Å.
Fractional positions:
Ag 0.3750 0.4686 0.7500  2 Zn 2.62, 2 Ag 2.92
Ag 0.5314 0.1250 0.2500  2 Zn 2.62, 2 Ag 2.92
Ag 0.2186 0.6250 0.2500  2 Zn 2.62, 2 Ag 2.92
Ag 0.8750 0.7814 0.7500  2 Zn 2.62, 2 Ag 2.92
I 0.7500 0.2500 0.5000  4 Ag 3.03
I 0.0000 0.0000 0.0000  4 Ag 3.03
Zn 0.2500 0.7500 0.5000  4 Ag 2.62
Zn 0.5000 0.5000 0.0000  4 Ag 2.62